VASP calculation (PBE-GGA) on a relaxed structure of Sc3BiC.

Lattice parameters (Å, degrees): 4.374 6.432 7.704 90.00 90.00 90.00
Element x y z (fractional)
Sc: 0.250 0.021 0.151
Sc: 0.250 0.479 0.151
Sc: 0.250 0.750 0.577
Sc: 0.750 0.250 0.423
Sc: 0.750 0.521 0.849
Sc: 0.750 0.979 0.849
Bi: 0.250 0.250 0.745
Bi: 0.750 0.750 0.255
C: 0.250 0.250 0.345
C: 0.750 0.750 0.655

Total moment in Bohr magnetons per cell: 0.00
SG: No. 59
ΔE_f in eV/atom: -0.2448